Entry 1:
DFT (PBE-GGA) results for crystalline Gd2Tm2Ni at its relaxed geometry.

* ρ: 9.1 g cm⁻³
* DFT formation energy: 16.7 meV per atom
* total energy: -4.75 eV per atom

a = 5.3089 Å, b = 5.3089 Å, c = 10.6744 Å
α = 90.00°, β = 90.00°, γ = 120.00°
Space group P6_3/mmc (No. 194)
One atom of each set of equivalent atoms:
Gd (0.3333, 0.6667, 0.0971) [4 per cell]
Tm (0.0000, 0.0000, 0.0000) [2 per cell]
Tm (0.3333, 0.6667, 0.7500) [2 per cell]
Ni (0.0000, 0.0000, 0.2500) [2 per cell]



Entry 2:
DFT (PBE-GGA) results for crystalline GdTm2Ni9 at its relaxed geometry.

* ρ: 10.2 g cm⁻³
* DFT formation energy: -433.3 meV per atom
* total energy: -5.74 eV per atom

a = 4.9193 Å, b = 4.9193 Å, c = 23.9653 Å
α = 90.00°, β = 90.00°, γ = 120.00°
Space group R-3m (No. 166, hexagonal axes)
One atom of each set of equivalent atoms:
Gd (0.0000, 0.0000, 0.0000) [3 per cell]
Tm (0.0000, 0.0000, 0.1398) [6 per cell]
Ni (0.0000, 0.0000, 0.3331) [6 per cell]
Ni (0.0000, 0.0000, 0.5000) [3 per cell]
Ni (0.0018, 0.5009, 0.9167) [18 per cell]



Entry 3:
DFT (PBE-GGA) results for crystalline GdTmNi2 at its relaxed geometry.

* energy above the most stable polymorph in this dataset: 1 kJ/mol of formula units
* ρ: 9.4 g cm⁻³
* DFT formation energy: -462.4 meV per atom
* total energy: -5.53 eV per atom

a = 5.394 Å, b = 4.168 Å, c = 6.997 Å
α = 90.00°, β = 90.66°, γ = 90.00°
Space group P2_1/m (No. 11)
One atom of each set of equivalent atoms:
Gd (0.133, 0.250, 0.183) [2 per cell]
Tm (0.368, 0.250, 0.678) [2 per cell]
Ni (0.130, 0.750, 0.465) [2 per cell]
Ni (0.376, 0.750, 0.961) [2 per cell]